! Mg2Sb2Pb, relaxed, DFT GGA-PBE; values from VASP
! ΔE_f (raw) ... -130 meV/atom
! SG ... I4/mmm
! Crystal system ... tetragonal
! Uncorrected energy ... -15.79 eV per cell
&SYSTEM
  ibrav = 0, nat = 5, ntyp = 3
/
ATOMIC_SPECIES
Mg 24.30 Mg.upf
Sb 121.76 Sb.upf
Pb 207.20 Pb.upf
CELL_PARAMETERS angstrom
-2.248 2.248 7.093
2.248 -2.248 7.093
2.248 2.248 -7.093
ATOMIC_POSITIONS crystal
Mg 0.250 0.750 0.500
Mg 0.750 0.250 0.500
Sb 0.120 0.120 0.000
Sb 0.880 0.880 0.000
Pb 0.500 0.500 0.000